Entry 1:
Here is crystalline CePrPb2 at its relaxed geometry from the Alexandria database. Energies are from GGA-PBE.

Calculated values
- V (Å³ per cell) = 121
- theoretical density (g/cm³) = 9.54
- calculated formation energy (eV per formula unit) = -1.8
- D(E_F) (states/eV/cell) = 8.68
- space-group type = P4/mmm (123)

Lattice parameters (Å, degrees): 3.619 3.619 9.244 90.00 90.00 90.00
Element x y z (fractional)
Ce (0.000, 0.000, 0.000)
Pr (0.000, 0.000, 0.500)
Pb (0.500, 0.500, 0.248)
Pb (0.500, 0.500, 0.752)

Entry 2:
Here is crystalline Eu2CdCo at its relaxed geometry from the Alexandria database. Energies are from GGA-PBE.

Calculated values
- V (Å³ per cell) = 102
- theoretical density (g/cm³) = 7.76
- calculated formation energy (eV per formula unit) = -0.1
- D(E_F) (states/eV/cell) = 8.50
- space-group type = P4/mmm (123)

Lattice parameters (Å, degrees): 3.585 3.585 7.915 90.00 90.00 90.00
Element x y z (fractional)
Eu (0.000, 0.000, 0.213)
Eu (0.000, 0.000, 0.787)
Cd (0.500, 0.500, 0.500)
Co (0.500, 0.500, 0.000)

Entry 3:
Here is crystalline Hf2OsO at its relaxed geometry from the Alexandria database. Energies are from GGA-PBE.

Calculated values
- E_form (uncorrected) (eV per formula unit) = -4.45
- V (Å³ per cell) = 137
- theoretical density (g/cm³) = 13.67
- D(E_F) (states/eV/cell) = 0.92
- space-group type = I-42d (122)

Lattice parameters (Å, degrees): 5.649 5.649 5.649 113.60 113.60 101.50
Element x y z (fractional)
Hf (0.054, 0.125, 0.429)
Hf (0.375, 0.946, 0.071)
Hf (0.696, 0.625, 0.571)
Hf (0.875, 0.304, 0.929)
Os (0.250, 0.750, 0.500)
Os (0.500, 0.500, 0.000)
O (0.000, 0.000, 0.000)
O (0.750, 0.250, 0.500)

Entry 4:
Here is crystalline BaNaRhCl2 at its relaxed geometry from the Alexandria database. Energies are from GGA-PBE.

Calculated values
- E_form (uncorrected) (eV per formula unit) = -3.15
- V (Å³ per cell) = 135
- theoretical density (g/cm³) = 4.11
- D(E_F) (states/eV/cell) = 6.57
- space-group type = P4/mmm (123)

Lattice parameters (Å, degrees): 5.055 5.055 5.279 90.00 90.00 90.00
Element x y z (fractional)
Ba (0.000, 0.000, 0.000)
Na (0.500, 0.500, 0.500)
Rh (0.500, 0.500, 0.000)
Cl (0.000, 0.500, 0.500)
Cl (0.500, 0.000, 0.500)

Q: What is the V in the fourth record?
A: 135 Å³ per cell